Material: AgHgTeO
Method: DFT, PBE
State: relaxed

Summary:
Energy relative to the lowest polymorph listed for this composition (meV per atom): 194.4
Theoretical density (kg/m3): 9511

a = 3.5259 Å, b = 14.6812 Å, c = 6.0987 Å
α = 90.00°, β = 90.00°, γ = 90.00°
Space group Cmcm (No. 63)
One atom of each set of equivalent atoms:
Ag 0.0000 0.0682 0.2500
Hg 0.0000 0.3845 0.2500
Te 0.0000 0.2819 0.7500
O 0.0000 0.5000 0.0000